The following is a GGA-PBE calculation of a relaxed structure of Cs2MnICl6, from Alexandria.

Results
* space-group type: I4/mmm, No. 139

Cell lengths 8.181, 8.181, 7.884 Å; angles 58.75, 58.75, 90.00 degrees
Site moments in Bohr magnetons follow the coordinates.
Fractional coordinates of all 10 atoms:
1 Cs 0.750 0.250 0.500  0.00
2 Cs 0.250 0.750 0.500  0.00
3 I 0.000 0.000 0.000  0.00
4 Mn 0.500 0.500 0.000  3.68
5 Cl 0.240 0.240 0.521  0.02
6 Cl 0.760 0.760 0.479  0.02
7 Cl 0.303 0.303 0.000  0.00
8 Cl 0.697 0.697 0.000  0.00
9 Cl 0.697 0.303 0.000  0.00
10 Cl 0.303 0.697 0.000  0.00

=====

The following is a GGA-PBE calculation of a relaxed structure of KTcBr2, from Alexandria.

Results
* polymorph energy (0 for the lowest one): 0.127 eV/atom
* space-group type: Pmm2, No. 25

Cell lengths 3.748, 4.426, 7.522 Å; angles 90.00, 90.00, 90.00 degrees
Site moments in Bohr magnetons follow the coordinates.
Fractional coordinates of all 4 atoms:
1 Br 0.000 0.000 0.878  0.08
2 Br 0.500 0.500 0.475  0.05
3 K 0.000 0.000 0.308  0.01
4 Tc 0.500 0.500 0.839  3.31

=====

no.,DFT total energy (eV/cell)
1,-35.92
2,-15.07